(1)
This record from the Alexandria database describes an optimized crystal structure of Mg2Pb. The functional is GGA-PBEsol.

Output
**Formation energy from the elements**: -0.05 eV/atom
**Size of the total moment**: 0.00 Bohr magnetons per cell

extended XYZ file:
```
6
Lattice="4.831 -2.804 0.000 4.831 2.804 0.000 0.000 0.000 5.418" Properties=species:S:1:pos:R:3 pbc="T T T"
Mg 3.213 1.788 4.064
Mg 6.449 1.788 4.064
Mg 3.213 -1.788 1.355
Mg 6.449 -1.788 1.355
Pb 4.831 1.072 1.355
Pb 4.831 -1.072 4.064
```


(2)
This record from the Alexandria database describes an optimized crystal structure of Mg3Pb. The functional is GGA-PBEsol.

Output
**Formation energy from the elements**: -0.04 eV/atom
**Size of the total moment**: 0.00 Bohr magnetons per cell

extended XYZ file:
```
8
Lattice="5.768 0.000 0.000 0.000 5.768 0.000 0.000 0.000 5.768" Properties=species:S:1:pos:R:3 pbc="T T T"
Mg 0.000 1.442 2.884
Mg 0.000 4.326 2.884
Mg 1.442 2.884 0.000
Mg 2.884 0.000 1.442
Mg 2.884 0.000 4.326
Mg 4.326 2.884 0.000
Pb 0.000 0.000 0.000
Pb 2.884 2.884 2.884
```